[1]
An optimized crystal structure of IrAuO2, computed with PBE.

Output
E	-0.3949	Ry per atom
spin magnetization	0.000	μB per atom
raw formation energy	140	meV per atom
symmetry	No. 166

Lattice parameters (Å, degrees): 7.6109 7.6109 7.6109 21.46 21.46 21.46
With the nearest neighbours (Å) after each atom.
Sites, in units of the cell vectors:
Ir  0.0000  0.0000  0.0000  2 O 1.83
Au  0.5000  0.5000  0.5000  6 O 2.50
O  0.9179  0.9179  0.9179  1 Ir 1.83
O  0.0821  0.0821  0.0821  1 Ir 1.83

[2]
An optimized crystal structure of IrAuO3, computed with PBE.

Output
E	-0.3064	Ry per atom
spin magnetization	0.692	μB per atom
raw formation energy	1234	meV per atom
symmetry	No. 221

Lattice parameters (Å, degrees): 4.0282 4.0282 4.0282 90.00 90.00 90.00
With the nearest neighbours (Å) after each atom.
Sites, in units of the cell vectors:
Ir  0.5000  0.5000  0.5000  12 O 2.85
Au  0.0000  0.0000  0.0000  6 O 2.01
O  0.0000  0.5000  0.0000  2 Au 2.01
O  0.0000  0.0000  0.5000  2 Au 2.01
O  0.5000  0.0000  0.0000  2 Au 2.01

[3]
An optimized crystal structure of IrAuO2, computed with PBE.

Output
E	-0.4249	Ry per atom
spin magnetization	0.000	μB per atom
raw formation energy	-267	meV per atom
symmetry	No. 166

Lattice parameters (Å, degrees): 6.4209 6.4209 6.4209 28.55 28.55 28.55
With the nearest neighbours (Å) after each atom.
Sites, in units of the cell vectors:
Ir  0.5000  0.5000  0.5000  6 O 2.07
Au  0.0000  0.0000  0.0000  2 O 2.11
O  0.8857  0.8857  0.8857  3 Ir 2.07, 1 Au 2.11
O  0.1143  0.1143  0.1143  3 Ir 2.07, 1 Au 2.11

[4]
An optimized crystal structure of IrAu2O, computed with PBE.

Output
E	-0.3181	Ry per atom
spin magnetization	0.000	μB per atom
raw formation energy	765	meV per atom
symmetry	No. 122

Lattice parameters (Å, degrees): 6.8539 6.8539 5.5106 51.55 51.55 90.00
With the nearest neighbours (Å) after each atom.
Sites, in units of the cell vectors:
Ir  0.0000  0.0000  0.0000  2 O 2.62, 4 Au 2.70
Ir  0.7500  0.2500  0.5000  2 O 2.62, 4 Au 2.70
Au  0.5854  0.1250  0.2500  2 O 2.33
Au  0.1646  0.6250  0.2500  2 O 2.33
Au  0.3750  0.4146  0.7500  2 O 2.33
Au  0.8750  0.8354  0.7500  2 O 2.33
O  0.5000  0.5000  0.0000  4 Au 2.33
O  0.2500  0.7500  0.5000  4 Au 2.33

[5]
An optimized crystal structure of IrAuO2, computed with PBE.

Output
E	-0.3397	Ry per atom
spin magnetization	0.000	μB per atom
raw formation energy	891	meV per atom
symmetry	No. 225

Lattice parameters (Å, degrees): 4.0618 4.0618 4.0618 60.00 60.00 60.00
With the nearest neighbours (Å) after each atom.
Sites, in units of the cell vectors:
Ir  0.0000  0.0000  0.0000  8 O 2.49
Au  0.5000  0.5000  0.5000  8 O 2.49
O  0.2500  0.2500  0.2500  4 Ir 2.49, 4 Au 2.49
O  0.7500  0.7500  0.7500  4 Au 2.49, 4 Ir 2.49

[6]
An optimized crystal structure of IrAuO2, computed with PBE.

Output
E	-0.3929	Ry per atom
spin magnetization	0.000	μB per atom
raw formation energy	168	meV per atom
symmetry	No. 122

Lattice parameters (Å, degrees): 6.7993 6.7993 5.4972 51.80 51.80 90.00
With the nearest neighbours (Å) after each atom.
Sites, in units of the cell vectors:
Ir  0.5000  0.5000  0.0000  4 O 1.96
Ir  0.2500  0.7500  0.5000  4 O 1.96
Au  0.0000  0.0000  0.0000  2 Ir 2.67, 4 O 2.72
Au  0.7500  0.2500  0.5000  2 Ir 2.67, 4 O 2.72
O  0.4806  0.1250  0.2500  2 Ir 1.96
O  0.2694  0.6250  0.2500  2 Ir 1.96
O  0.3750  0.5194  0.7500  2 Ir 1.96
O  0.8750  0.7306  0.7500  2 Ir 1.96